A plane-wave DFT calculation with PBE-GGA was carried out for a relaxed structure of HoLuFe.

Values from the calculation:
**Relative energy among the computed polymorphs**: 0.000 eV/atom
**Formation energy**: 0.175 eV/atom

abc: 4.5924 4.5924 4.5924
angles: 60.00 60.00 60.00
Sites, in units of the cell vectors:
Ho1 0.0000 0.0000 0.0000
Lu1 0.5000 0.5000 0.5000
Fe1 0.2500 0.2500 0.2500

A plane-wave DFT calculation with PBE-GGA was carried out for a relaxed structure of YErNO.

Values from the calculation:
**Relative energy among the computed polymorphs**: 0.109 eV/atom

abc: 8.0032 6.6059 4.8887
angles: 90.00 90.00 90.00
Sites, in units of the cell vectors:
Y1 0.1230 0.0691 0.2500
Y2 0.1230 0.4309 0.7500
Y3 0.8770 0.5691 0.2500
Y4 0.8770 0.9309 0.7500
Er1 0.3740 0.5847 0.2500
Er2 0.3740 0.9153 0.7500
Er3 0.6260 0.0847 0.2500
Er4 0.6260 0.4153 0.7500
N1 0.3780 0.5726 0.7500
N2 0.3780 0.9274 0.2500
N3 0.6220 0.0726 0.7500
N4 0.6220 0.4274 0.2500
O1 0.1372 0.0928 0.7500
O2 0.1372 0.4072 0.2500
O3 0.8628 0.5928 0.7500
O4 0.8628 0.9072 0.2500

A plane-wave DFT calculation with PBE-GGA was carried out for a relaxed structure of LaPr2AgHg3Au2.

Values from the calculation:
**Formation energy**: -0.599 eV/atom

abc: 3.9513 8.1325 8.1325
angles: 119.94 90.00 90.00
Sites, in units of the cell vectors:
La1 0.0000 0.0000 0.0000
Pr1 0.0000 0.1903 0.5943
Pr2 0.0000 0.5943 0.1903
Ag1 0.0000 0.5953 0.5953
Hg1 0.5000 0.3322 0.3322
Hg2 0.5000 0.5941 0.8599
Hg3 0.5000 0.8599 0.5941
Au1 0.5000 0.2620 0.9282
Au2 0.5000 0.9282 0.2620

A plane-wave DFT calculation with PBE-GGA was carried out for a relaxed structure of AlReGe.

Values from the calculation:
**Relative energy among the computed polymorphs**: 0.000 eV/atom

abc: 4.1517 4.1517 4.1517
angles: 60.00 60.00 60.00
Sites, in units of the cell vectors:
Al1 0.0000 0.0000 0.0000
Re1 0.5000 0.5000 0.5000
Ge1 0.2500 0.2500 0.2500

A plane-wave DFT calculation with PBE-GGA was carried out for a relaxed structure of Te2Au.

Values from the calculation:
**E_tot**: -3.255 eV per atom

abc: 4.2129 4.2129 5.1506
angles: 90.00 90.00 120.00
Sites, in units of the cell vectors:
Te1 0.3333 0.6667 0.2081
Te2 0.6667 0.3333 0.7919
Au1 0.0000 0.0000 0.5000

A plane-wave DFT calculation with PBE-GGA was carried out for a relaxed structure of Hf31AlO64.

Values from the calculation:
**Relative energy among the computed polymorphs**: 0.026 eV/atom

abc: 9.9638 10.0698 10.3957
angles: 89.92 89.91 89.80
Sites, in units of the cell vectors:
Hf1 0.0000 0.0000 0.0000
Hf2 0.0003 0.0003 0.5002
Hf3 0.9996 0.4995 0.4999
Hf4 0.0003 0.4996 0.0006
Hf5 0.0002 0.7494 0.2859
Hf6 0.0019 0.7488 0.7855
Hf7 0.2679 0.2486 0.5345
Hf8 0.2692 0.9987 0.7498
Hf9 0.2704 0.5017 0.2498
Hf10 0.2702 0.7505 0.0350
Hf11 0.2699 0.9979 0.2493
Hf12 0.2711 0.2487 0.0333
Hf13 0.2715 0.7452 0.5351
Hf14 0.2730 0.4999 0.7447
Hf15 0.4985 0.2552 0.7808
Hf16 0.4977 0.5038 0.9982
Hf17 0.4991 0.2548 0.2890
Hf18 0.5002 0.0005 0.4999
Hf19 0.5002 0.0044 0.9998
Hf20 0.5003 0.7487 0.2890
Hf21 0.5010 0.7535 0.7847
Hf22 0.7632 0.5044 0.2530
Hf23 0.7651 0.2562 0.5352
Hf24 0.7675 0.2540 0.0354
Hf25 0.7682 0.0036 0.2504
Hf26 0.7685 0.5064 0.7499
Hf27 0.7701 0.0041 0.7505
Hf28 0.7696 0.7541 0.0353
Hf29 0.7705 0.7550 0.5359
Hf30 0.9957 0.2493 0.2866
Hf31 0.9990 0.2505 0.7847
Al1 0.5133 0.5238 0.5089
O1 0.0885 0.3112 0.4568
O2 0.0942 0.0640 0.8299
O3 0.0940 0.3120 0.9563
O4 0.0951 0.0646 0.3300
O5 0.0953 0.8140 0.9548
O6 0.0962 0.5617 0.8299
O7 0.0964 0.5647 0.3318
O8 0.0962 0.8134 0.4551
O9 0.1712 0.3154 0.2026
O10 0.1743 0.0624 0.5811
O11 0.1737 0.5639 0.5804
O12 0.1744 0.5647 0.0795
O13 0.1754 0.8123 0.2050
O14 0.1757 0.0626 0.0798
O15 0.1755 0.3140 0.7048
O16 0.1778 0.8103 0.7054
O17 0.3401 0.3640 0.3819
O18 0.3610 0.1284 0.8857
O19 0.3606 0.3779 0.8940
O20 0.3612 0.6284 0.8856
O21 0.3612 0.8714 0.3972
O22 0.3623 0.1224 0.3882
O23 0.3622 0.8784 0.8984
O24 0.3707 0.6129 0.3964
O25 0.4074 0.1247 0.6478
O26 0.4072 0.1262 0.1494
O27 0.4070 0.3757 0.1340
O28 0.4079 0.6259 0.1497
O29 0.4092 0.3788 0.6204
O30 0.4085 0.8740 0.6366
O31 0.4096 0.8748 0.1373
O32 0.4170 0.6221 0.6466
O33 0.5848 0.4427 0.3453
O34 0.5928 0.1921 0.9532
O35 0.5943 0.1862 0.4544
O36 0.5940 0.4405 0.8296
O37 0.5948 0.6890 0.9560
O38 0.5950 0.9360 0.3312
O39 0.5948 0.9408 0.8303
O40 0.5967 0.6883 0.4591
O41 0.6663 0.4466 0.5821
O42 0.6701 0.4400 0.0848
O43 0.6736 0.1911 0.2052
O44 0.6741 0.1916 0.7046
O45 0.6746 0.6905 0.2061
O46 0.6753 0.9415 0.0802
O47 0.6764 0.9415 0.5807
O48 0.6790 0.6946 0.7082
O49 0.8568 0.3767 0.3879
O50 0.8596 0.1262 0.3986
O51 0.8602 0.3763 0.8878
O52 0.8609 0.1263 0.8982
O53 0.8616 0.6254 0.3985
O54 0.8623 0.8761 0.3874
O55 0.8619 0.8756 0.8875
O56 0.8628 0.6258 0.8993
O57 0.9039 0.3796 0.6483
O58 0.9051 0.3786 0.1498
O59 0.9061 0.6268 0.1387
O60 0.9071 0.1281 0.1369
O61 0.9070 0.1301 0.6366
O62 0.9081 0.8779 0.1488
O63 0.9091 0.6286 0.6369
O64 0.9105 0.8793 0.6492

A plane-wave DFT calculation with PBE-GGA was carried out for a relaxed structure of CuSiNiOs.

Values from the calculation:
**Relative energy among the computed polymorphs**: 0.322 eV/atom

abc: 4.1152 4.1152 4.1152
angles: 60.00 60.00 60.00
Sites, in units of the cell vectors:
Cu1 0.0000 0.0000 0.0000
Si1 0.7500 0.7500 0.7500
Ni1 0.5000 0.5000 0.5000
Os1 0.2500 0.2500 0.2500

A plane-wave DFT calculation with PBE-GGA was carried out for a relaxed structure of Np3Tl.

Values from the calculation:
**E_tot**: -9.750 eV per atom

abc: 4.6546 4.6546 4.6546
angles: 90.00 90.00 90.00
Sites, in units of the cell vectors:
Np1 0.0000 0.0000 0.5000
Np2 0.0000 0.5000 0.0000
Np3 0.5000 0.0000 0.0000
Tl1 0.5000 0.5000 0.5000

A plane-wave DFT calculation with PBE-GGA was carried out for a relaxed structure of Sc2Nb4Si3N3.

Values from the calculation:
**E_tot**: -8.755 eV per atom

abc: 5.4841 5.4841 13.3464
angles: 101.76 101.76 60.16
Sites, in units of the cell vectors:
Sc1 0.0338 0.8685 0.6022
Sc2 0.1315 0.9662 0.8978
Sc3 0.8685 0.0338 0.1022
Sc4 0.9662 0.1315 0.3978
Nb1 0.1967 0.3653 0.0887
Nb2 0.3068 0.4674 0.4113
Nb3 0.3653 0.1967 0.5887
Nb4 0.4674 0.3068 0.9113
Nb5 0.5326 0.6932 0.0887
Nb6 0.6347 0.8033 0.4113
Nb7 0.6932 0.5326 0.5887
Nb8 0.8033 0.6347 0.9113
Si1 0.0825 0.2986 0.7496
Si2 0.2986 0.0825 0.2496
Si3 0.4695 0.5305 0.7500
Si4 0.5305 0.4695 0.2500
Si5 0.7014 0.9175 0.7504
Si6 0.9175 0.7014 0.2504
N1 0.0000 0.5000 0.5000
N2 0.1564 0.6871 0.9999
N3 0.3129 0.8436 0.5001
N4 0.5000 0.0000 0.0000
N5 0.6871 0.1564 0.4999
N6 0.8436 0.3129 0.0001

A plane-wave DFT calculation with PBE-GGA was carried out for a relaxed structure of PrAs.

Values from the calculation:
**E_tot**: -5.705 eV per atom

abc: 4.7549 4.7549 4.7549
angles: 60.00 60.00 60.00
Sites, in units of the cell vectors:
Pr1 0.0000 0.0000 0.0000
As1 0.2500 0.2500 0.2500

A plane-wave DFT calculation with PBE-GGA was carried out for a relaxed structure of KRe2.

Values from the calculation:
**Relative energy among the computed polymorphs**: 3.542 eV/atom

abc: 11.4014 11.4014 11.4014
angles: 60.00 60.00 60.00
Sites, in units of the cell vectors:
K1 0.1250 0.1250 0.1250
K2 0.8750 0.8750 0.8750
Re1 0.0000 0.0000 0.0000
Re2 0.0000 0.0000 0.5000
Re3 0.0000 0.5000 0.0000
Re4 0.5000 0.0000 0.0000

A plane-wave DFT calculation with PBE-GGA was carried out for a relaxed structure of Te2Os2O5.

Values from the calculation:
**E_tot**: -5.510 eV per atom

abc: 3.4603 3.4603 8.8048
angles: 90.00 90.00 90.00
Sites, in units of the cell vectors:
Te1 0.0000 0.0000 0.1843
Te2 0.0000 0.0000 0.8157
Os1 0.5000 0.5000 0.0000
Os2 0.5000 0.5000 0.5000
O1 0.0000 0.0000 0.5000
O2 0.0000 0.5000 0.3482
O3 0.0000 0.5000 0.6518
O4 0.5000 0.0000 0.3482
O5 0.5000 0.0000 0.6518